A plane-wave DFT calculation with GGA-PBE was carried out for a geometry-optimized NdScRh structure.

Lattice parameters (Å, degrees): 6.724 6.724 6.724 90.00 90.00 90.00
Space group F-43m (No. 216)
One atom of each set of equivalent atoms:
1 Nd 0.000 0.000 0.000 (multiplicity 4)
2 Sc 0.000 0.000 0.500 (multiplicity 4)
3 Rh 0.250 0.250 0.750 (multiplicity 4)

Summary:
Distance to the lowest polymorph of the same formula in eV/atom: 0.157
Energy of formation from the pure elements in eV per atom: -0.46
Total energy in eV/atom: -6.609